Arrangement A

First-principles (GGA-PBE) data for a geometry-optimized Li5Mg4Tl structure, as listed in the Alexandria database.

Properties
Fermi-level density of states, states/eV per atom: 0.20

```
data_Li5Mg4Tl
_cell_length_a 9.046
_cell_length_b 9.046
_cell_length_c 5.183
_cell_angle_alpha 90.00
_cell_angle_beta 90.00
_cell_angle_gamma 90.00
_symmetry_space_group_name_H-M 'I 4 m m'
_symmetry_Int_Tables_number 107
_symmetry_space_group_name_Hall 'I 4 -2'
loop_
_atom_site_label
_atom_site_type_symbol
_atom_site_fract_x
_atom_site_fract_y
_atom_site_fract_z
Li1 Li 0.000 0.000 0.000
Li2 Li 0.184 0.184 0.754
Mg1 Mg 0.000 0.325 0.256
Tl1 Tl 0.000 0.000 0.478
```

***

Arrangement B

First-principles (GGA-PBE) data for a geometry-optimized Li5Mg4Tl structure, as listed in the Alexandria database.

Properties
Fermi-level density of states, states/eV per atom: 0.35

```
data_Li5Mg4Tl
_cell_length_a 3.481
_cell_length_b 3.481
_cell_length_c 16.683
_cell_angle_alpha 90.00
_cell_angle_beta 90.00
_cell_angle_gamma 90.00
_symmetry_space_group_name_H-M 'P 4/m m m'
_symmetry_Int_Tables_number 123
_symmetry_space_group_name_Hall '-P 4 2'
loop_
_atom_site_label
_atom_site_type_symbol
_atom_site_fract_x
_atom_site_fract_y
_atom_site_fract_z
Li1 Li 0.000 0.000 0.000
Li2 Li 0.000 0.000 0.199
Li3 Li 0.000 0.000 0.402
Mg1 Mg 0.500 0.500 0.099
Mg2 Mg 0.500 0.500 0.297
Tl1 Tl 0.500 0.500 0.500
```

***

What is the stability order? It is arrangement B, arrangement A, from most stable to least stable.

***

Arrangement A

First-principles (GGA-PBE) data for a geometry-optimized Li6MgTl2 structure, as listed in the Alexandria database.

Properties
Fermi-level density of states, states/eV per atom: 0.31

```
data_Li6MgTl2
_cell_length_a 8.385
_cell_length_b 8.663
_cell_length_c 4.632
_cell_angle_alpha 90.00
_cell_angle_beta 90.00
_cell_angle_gamma 90.00
_symmetry_space_group_name_H-M 'P n n m'
_symmetry_Int_Tables_number 58
_symmetry_space_group_name_Hall '-P 2 2n'
loop_
_atom_site_label
_atom_site_type_symbol
_atom_site_fract_x
_atom_site_fract_y
_atom_site_fract_z
Li1 Li 0.011 0.166 0.000
Li2 Li 0.160 0.062 0.500
Li3 Li 0.181 0.387 0.500
Mg1 Mg 0.000 0.500 0.000
Tl1 Tl 0.157 0.725 0.500
```

***

Arrangement B

First-principles (GGA-PBE) data for a geometry-optimized Li6MgTl2 structure, as listed in the Alexandria database.

Properties
Fermi-level density of states, states/eV per atom: 0.29

```
data_Li6MgTl2
_cell_length_a 4.7200
_cell_length_b 4.7200
_cell_length_c 8.7203
_cell_angle_alpha 90.00
_cell_angle_beta 90.00
_cell_angle_gamma 120.00
_symmetry_space_group_name_H-M 'P -3 m 1'
_symmetry_Int_Tables_number 164
_symmetry_space_group_name_Hall '-P 3 2"'
loop_
_atom_site_label
_atom_site_type_symbol
_atom_site_fract_x
_atom_site_fract_y
_atom_site_fract_z
Li1 Li 0.0000 0.0000 0.1695
Li2 Li 0.3333 0.6667 0.0690
Li3 Li 0.3333 0.6667 0.3924
Mg1 Mg 0.0000 0.0000 0.5000
Tl1 Tl 0.3333 0.6667 0.7332
```

***

What is the stability order? It is arrangement B, arrangement A, from most stable to least stable.

***

Arrangement A

First-principles (GGA-PBE) data for a geometry-optimized Li4MgTl3 structure, as listed in the Alexandria database.

Properties
Fermi-level density of states, states/eV per atom: 0.34

```
data_Li4MgTl3
_cell_length_a 4.8549
_cell_length_b 4.8549
_cell_length_c 23.8139
_cell_angle_alpha 90.00
_cell_angle_beta 90.00
_cell_angle_gamma 120.00
_symmetry_space_group_name_H-M 'R -3 m'
_symmetry_Int_Tables_number 166
_symmetry_space_group_name_Hall '-R 3 2"'
loop_
_atom_site_label
_atom_site_type_symbol
_atom_site_fract_x
_atom_site_fract_y
_atom_site_fract_z
Li1 Li 0.0000 0.0000 0.1208
Li2 Li 0.0000 0.0000 0.3721
Mg1 Mg 0.0000 0.0000 0.5000
Tl1 Tl 0.0000 0.0000 0.0000
Tl2 Tl 0.0000 0.0000 0.2419
```

***

Arrangement B

First-principles (GGA-PBE) data for a geometry-optimized Li4MgTl3 structure, as listed in the Alexandria database.

Properties
Fermi-level density of states, states/eV per atom: 0.34

```
data_Li4MgTl3
_cell_length_a 19.574
_cell_length_b 3.677
_cell_length_c 4.797
_cell_angle_alpha 90.00
_cell_angle_beta 103.70
_cell_angle_gamma 90.00
_symmetry_space_group_name_H-M 'C 1 2/m 1'
_symmetry_Int_Tables_number 12
_symmetry_space_group_name_Hall '-C 2y'
loop_
_atom_site_label
_atom_site_type_symbol
_atom_site_fract_x
_atom_site_fract_y
_atom_site_fract_z
Li1 Li 0.120 0.000 0.120
Li2 Li 0.243 0.500 0.242
Mg1 Mg 0.000 0.000 0.500
Tl1 Tl 0.000 0.500 0.000
Tl2 Tl 0.141 0.500 0.641
```

***

What is the stability order? It is arrangement A, arrangement B, from most stable to least stable.